No. 1
Density functional theory data (GGA-PBE) for a geometry-optimized Dy4TlRh structure.

```
Dy4TlRh
1.0
-8.365 1.086 -4.727
-4.156 -7.607 -4.284
-8.133 -3.752 3.641
Dy Tl Rh
16 4 4
Cartesian
-8.962 -4.275 1.251 Dy
-14.748 -5.350 -4.800 Dy
-8.266 -4.112 -2.149 Dy
-14.660 -7.181 -1.633 Dy
-9.106 -1.265 -3.955 Dy
-11.604 -3.678 -4.035 Dy
-14.167 -3.599 -1.690 Dy
-17.826 -6.770 -3.422 Dy
-11.512 -5.609 -0.696 Dy
-13.155 -8.640 -4.632 Dy
-11.692 -5.998 -6.621 Dy
-16.233 -10.060 -3.254 Dy
-9.925 -7.147 -3.859 Dy
-16.320 -8.229 -6.421 Dy
-11.548 -9.009 -1.414 Dy
-6.487 -6.674 -3.680 Dy
-6.262 -1.314 -2.504 Tl
-3.392 -1.687 -0.882 Tl
-6.183 -2.974 0.368 Tl
-4.818 -4.297 -2.352 Tl
-12.550 -6.242 -3.263 Rh
-9.048 -4.627 -4.830 Rh
-8.949 -6.710 -1.228 Rh
-10.761 -2.967 -1.419 Rh
```

Values from the calculation:
The total moment is 0.0 Bohr magnetons per cell. The calculation puts the formation energy from the elements at -3.1 eV/f.u. Its calculated volume is 26.63 Å³/atom.



No. 2
Density functional theory data (GGA-PBE) for a geometry-optimized Sc2Ga4Ni3 structure.

```
Sc2Ga4Ni3
1.0
-4.588 -2.065 -0.653
3.869 -1.511 -2.913
1.737 -2.567 5.873
Sc Ga Ni
2 4 3
Cartesian
-0.020 -2.860 -0.777 Sc
1.039 -3.283 3.083 Sc
-1.907 -3.107 3.500 Ga
2.925 -3.035 -1.194 Ga
-2.737 -3.406 0.319 Ga
3.756 -2.737 1.988 Ga
1.935 -0.755 -1.456 Ni
0.000 0.000 0.000 Ni
-2.294 -1.032 -0.327 Ni
```

Values from the calculation:
The total moment is 0.0 Bohr magnetons per cell. The calculation puts the formation energy from the elements at -4.7 eV/f.u. Its calculated volume is 15.24 Å³/atom.



No. 3
Density functional theory data (GGA-PBE) for a geometry-optimized PaTlNi4 structure.

```
PaTlNi4
1.0
5.033 0.000 0.000
2.516 4.358 0.000
2.516 1.453 4.109
Pa Ni Tl
1 4 1
Cartesian
0.000 0.000 0.000 Pa
3.779 3.630 2.567 Ni
5.033 2.906 0.519 Ni
6.287 3.630 2.567 Ni
5.033 1.458 2.567 Ni
2.516 1.453 1.027 Tl
```

Values from the calculation:
The total moment is 0.0 Bohr magnetons per cell. The calculation puts the formation energy from the elements at -1.5 eV/f.u. Its calculated volume is 15.02 Å³/atom.



No. 4
Density functional theory data (GGA-PBE) for a geometry-optimized ZnCo2Pt9 structure.

```
ZnCo2Pt9
1.0
3.898 0.000 0.000
0.000 3.898 0.000
0.000 0.000 11.739
Pt Co Zn
9 2 1
Cartesian
1.949 0.000 5.869 Pt
1.949 1.949 7.807 Pt
0.000 1.949 9.741 Pt
1.949 1.949 0.000 Pt
1.949 0.000 1.998 Pt
0.000 1.949 1.998 Pt
1.949 0.000 9.741 Pt
1.949 1.949 3.932 Pt
0.000 1.949 5.869 Pt
0.000 0.000 7.821 Co
0.000 0.000 3.917 Co
0.000 0.000 0.000 Zn
```

Values from the calculation:
The total moment is 6.4 Bohr magnetons per cell. The calculation puts the formation energy from the elements at -1.9 eV/f.u. Its calculated volume is 14.87 Å³/atom.



No. 5
Density functional theory data (GGA-PBE) for a geometry-optimized LaTbPr3Th structure.

```
LaTbPr3Th
1.0
-1.766 1.603 4.609
-7.577 0.701 -3.147
2.704 -9.737 4.423
Pr Tb Th La
6 2 2 2
Cartesian
-3.650 -0.547 3.174 Pr
-4.037 -3.581 1.160 Pr
-2.989 -6.885 2.711 Pr
-2.601 -3.851 4.725 Pr
-7.792 1.373 0.919 Pr
1.153 -8.805 4.966 Pr
-4.843 -0.416 -0.250 Tb
-1.796 -7.016 6.135 Tb
-6.957 -1.869 2.367 Th
0.318 -5.563 3.518 Th
-0.504 -2.404 2.104 La
-6.135 -5.029 3.781 La
```

Values from the calculation:
The total moment is 0.0 Bohr magnetons per cell. The calculation puts the formation energy from the elements at 0.2 eV/f.u. Its calculated volume is 35.00 Å³/atom.



No. 6
Density functional theory data (GGA-PBE) for a geometry-optimized CePuN2 structure.

```
CePuN2
1.0
3.021 0.000 0.000
0.000 3.021 0.000
0.000 0.000 6.049
Pu N Ce
1 2 1
Cartesian
1.510 1.510 0.000 Pu
0.000 0.000 1.485 N
0.000 0.000 4.564 N
1.510 1.510 3.024 Ce
```

Values from the calculation:
Its calculated total energy is -40.0 eV per formula unit. The total moment is 5.4 Bohr magnetons per cell. Its calculated volume is 13.80 Å³/atom.



No. 7
Density functional theory data (GGA-PBE) for a geometry-optimized Na3Er2ThTe6 structure.

```
Na3Er2ThTe6
1.0
-7.446 0.597 1.472
3.165 -6.866 -0.897
2.886 1.784 7.308
Er Te Na Th
2 6 3 1
Cartesian
-0.369 -4.381 -0.108 Er
-3.912 -1.888 0.683 Er
0.793 -4.615 5.616 Te
1.087 -0.276 5.740 Te
-2.482 -4.209 2.143 Te
-2.814 -2.078 6.421 Te
-2.188 0.130 2.266 Te
1.419 -2.407 1.461 Te
-0.697 -2.242 3.941 Na
2.862 -4.746 3.147 Na
-4.257 0.262 4.736 Na
0.000 0.000 0.000 Th
```

Values from the calculation:
Its calculated total energy is -54.0 eV per formula unit. The total moment is 0.0 Bohr magnetons per cell. Its calculated volume is 31.98 Å³/atom.



No. 8
Density functional theory data (GGA-PBE) for a geometry-optimized Th2GeRh6 structure.

```
Th2GeRh6
1.0
-5.240 -1.541 -1.483
3.952 -3.910 0.898
-1.128 -1.698 5.750
Th Rh Ge
2 6 1
Cartesian
-2.452 -2.369 0.329 Th
0.037 -4.779 4.837 Th
-2.374 -5.513 3.321 Rh
-1.768 -2.854 3.619 Rh
1.877 -3.551 2.260 Rh
-0.647 -4.294 1.546 Rh
-4.293 -3.597 2.905 Rh
-0.041 -1.635 1.845 Rh
0.000 0.000 0.000 Ge
```

Values from the calculation:
The total moment is 0.0 Bohr magnetons per cell. The calculation puts the formation energy from the elements at -6.7 eV/f.u. Its calculated volume is 18.09 Å³/atom.



No. 9
Density functional theory data (GGA-PBE) for a geometry-optimized GdMgRuRh structure.

```
GdMgRuRh
1.0
4.652 0.000 0.000
2.326 4.029 0.000
2.326 1.343 3.798
Ru Rh Gd Mg
1 1 1 1
Cartesian
2.326 1.343 0.950 Ru
6.978 4.029 2.849 Rh
4.652 2.686 1.899 Gd
0.000 0.000 0.000 Mg
```

Values from the calculation:
The total moment is 7.0 Bohr magnetons per cell. The calculation puts the formation energy from the elements at -1.4 eV/f.u. Its calculated volume is 17.80 Å³/atom.



No. 10
Density functional theory data (GGA-PBE) for a geometry-optimized CaFe2Sb structure.

```
CaFe2Sb
1.0
-1.152 -3.137 1.055
2.105 -1.557 -2.329
4.644 -0.240 4.357
Ca Sb Fe
1 1 2
Cartesian
3.960 -2.527 2.631 Ca
1.638 -2.407 0.452 Sb
0.306 -0.016 0.288 Fe
2.016 -0.104 1.891 Fe
```

Values from the calculation:
Its calculated total energy is -22.0 eV per formula unit. The total moment is 4.3 Bohr magnetons per cell. Its calculated volume is 19.56 Å³/atom.



No. 11
Density functional theory data (GGA-PBE) for a geometry-optimized Np6AgS12 structure.

```
Np6AgS12
1.0
7.819 0.282 -0.220
-0.234 7.820 -0.220
0.264 0.282 7.817
S Np Ag
12 6 1
Cartesian
3.284 1.742 4.053 S
5.514 1.201 6.963 S
7.131 1.031 2.305 S
0.847 2.804 6.975 S
3.710 4.993 6.110 S
0.717 7.354 5.072 S
1.457 4.354 3.027 S
4.139 3.392 1.267 S
6.392 4.031 4.350 S
7.001 5.581 0.402 S
2.335 7.184 0.414 S
4.565 6.644 3.324 S
3.364 7.558 5.555 Np
4.485 0.827 1.822 Np
5.997 3.855 6.961 Np
0.687 2.146 4.364 Np
1.852 4.530 0.416 Np
7.162 6.239 3.014 Np
0.000 0.000 0.000 Ag
```

Values from the calculation:
Its calculated total energy is -151.2 eV per formula unit. The total moment is 19.0 Bohr magnetons per cell. Its calculated volume is 25.23 Å³/atom.



No. 12
Density functional theory data (GGA-PBE) for a geometry-optimized TbPt5Pb structure.

```
TbPt5Pb
1.0
-5.113 0.973 -1.281
1.964 -1.055 -8.639
-2.317 -11.090 0.827
Pt Pb Tb
20 4 4
Cartesian
-1.422 -3.781 -8.460 Pt
-2.359 -5.316 -0.226 Pt
-4.159 -6.317 -5.016 Pt
-1.306 -4.855 -4.078 Pt
0.438 -1.732 -8.669 Pt
-0.229 -0.347 -4.955 Pt
-5.236 -10.824 -4.139 Pt
-3.954 -3.299 -9.094 Pt
-4.722 -1.745 -4.851 Pt
-0.744 -9.426 -4.242 Pt
-3.106 -5.856 -8.868 Pt
-3.276 -8.944 -4.877 Pt
-4.043 -7.390 -0.634 Pt
-3.902 -7.993 -7.314 Pt
-5.904 -9.439 -0.424 Pt
-1.563 -3.179 -1.780 Pt
-5.069 -8.349 -2.928 Pt
-1.511 -7.872 0.001 Pt
-0.397 -2.822 -6.166 Pt
-2.190 -2.227 -4.217 Pt
-3.843 -0.899 -2.162 Pb
-2.059 -7.138 -2.806 Pb
-1.622 -10.272 -6.932 Pb
-3.406 -4.034 -6.287 Pb
-2.529 -0.995 -7.480 Tb
-2.936 -10.176 -1.614 Tb
-1.180 -7.000 -6.209 Tb
-4.285 -4.172 -2.884 Tb
```

Values from the calculation:
The total moment is 0.0 Bohr magnetons per cell. The calculation puts the formation energy from the elements at -3.7 eV/f.u. Its calculated volume is 19.40 Å³/atom.



No. 13
Density functional theory data (GGA-PBE) for a geometry-optimized NpUSb2 structure.

```
NpUSb2
1.0
-2.724 -0.021 -3.362
-0.309 -3.510 -2.512
-6.356 -3.818 2.389
U Sb Np
1 2 1
Cartesian
0.000 0.000 0.000 U
-7.049 -5.515 -2.608 Sb
-2.340 -1.834 -0.877 Sb
-4.695 -3.674 -1.742 Np
```

Values from the calculation:
Its calculated total energy is -33.2 eV per formula unit. The total moment is 6.8 Bohr magnetons per cell. Its calculated volume is 29.91 Å³/atom.



No. 14
Density functional theory data (GGA-PBE) for a geometry-optimized CsNi2Mo structure.

```
CsNi2Mo
1.0
4.167 0.001 -0.002
2.084 3.874 0.001
0.303 1.368 13.526
Ni Mo Cs
4 2 2
Cartesian
1.194 0.856 5.237 Ni
3.275 2.221 5.603 Ni
3.279 3.021 7.922 Ni
5.361 4.387 8.288 Ni
5.362 3.585 5.965 Mo
1.192 1.658 7.560 Mo
1.184 2.217 11.036 Cs
5.370 3.026 2.489 Cs
```

Values from the calculation:
The total moment is 0.0 Bohr magnetons per cell. The calculation puts the formation energy from the elements at 1.1 eV/f.u. Its calculated volume is 27.29 Å³/atom.



No. 15
Density functional theory data (GGA-PBE) for a geometry-optimized Tl2AgMo structure.

```
Tl2AgMo
1.0
5.794 0.003 0.000
2.924 5.002 0.000
-4.359 -2.503 2.882
Ag Tl Mo
1 2 1
Cartesian
4.359 2.503 0.000 Ag
0.000 0.000 0.000 Tl
1.462 2.501 1.441 Tl
2.897 0.001 1.441 Mo
```

Values from the calculation:
The total moment is 0.9 Bohr magnetons per cell. The calculation puts the formation energy from the elements at 2.7 eV/f.u. Its calculated volume is 20.88 Å³/atom.



No. 16
Density functional theory data (GGA-PBE) for a geometry-optimized Ho2Pd3Pb structure.

```
Ho2Pd3Pb
1.0
-5.605 0.482 0.248
-0.008 -3.496 6.603
0.642 7.444 0.030
Ho Pb Pd
4 2 6
Cartesian
-3.935 -0.163 3.398 Ho
-3.722 3.411 1.251 Ho
-0.909 0.990 5.616 Ho
-0.696 4.564 3.468 Ho
-1.120 0.805 1.229 Pb
-3.513 3.596 5.637 Pb
-2.529 -1.398 5.595 Pd
-5.332 -1.157 5.720 Pd
-5.118 2.441 3.557 Pd
-4.904 6.040 1.395 Pd
-2.316 2.201 3.434 Pd
-2.102 5.799 1.271 Pd
```

Values from the calculation:
The total moment is 0.0 Bohr magnetons per cell. The calculation puts the formation energy from the elements at -4.0 eV/f.u. Its calculated volume is 23.22 Å³/atom.



No. 17
Density functional theory data (GGA-PBE) for a geometry-optimized SrS2Cl structure.

```
SrS2Cl
1.0
5.498 0.000 0.000
0.000 5.498 0.000
2.749 2.749 8.004
Cl S Sr
2 4 2
Cartesian
2.749 5.498 4.002 Cl
2.749 2.749 0.000 Cl
3.782 1.375 2.001 S
4.124 4.465 6.003 S
6.873 6.531 6.003 S
1.716 4.124 2.001 S
5.498 2.749 4.002 Sr
0.000 0.000 0.000 Sr
```

Values from the calculation:
Its calculated total energy is -13.2 eV per formula unit. The total moment is 0.0 Bohr magnetons per cell. Its calculated volume is 30.25 Å³/atom.



No. 18
Density functional theory data (GGA-PBE) for a geometry-optimized RbAs3Pt structure.

```
RbAs3Pt
1.0
-0.826 -1.918 5.007
5.360 -0.168 0.820
-0.135 5.072 1.921
Pt As Rb
1 3 1
Cartesian
2.200 1.493 3.874 Pt
2.680 -0.084 0.410 As
-0.413 -0.959 2.503 As
-0.067 2.536 0.961 As
0.000 0.000 0.000 Rb
```

Values from the calculation:
The total moment is 0.0 Bohr magnetons per cell. The calculation puts the formation energy from the elements at 11.3 eV/f.u. Its calculated volume is 31.93 Å³/atom.



No. 19
Density functional theory data (GGA-PBE) for a geometry-optimized Zn4BSb2 structure.

```
Zn4BSb2
1.0
4.129 0.000 0.000
0.000 4.129 0.000
2.064 2.064 7.855
Sb B Zn
2 1 4
Cartesian
2.064 2.064 3.029 Sb
4.129 4.129 4.825 Sb
0.000 0.000 0.000 B
2.064 2.064 5.686 Zn
2.064 0.000 0.000 Zn
0.000 2.064 0.000 Zn
4.129 4.129 2.168 Zn
```

Values from the calculation:
Its calculated total energy is -18.4 eV per formula unit. The total moment is 0.0 Bohr magnetons per cell. Its calculated volume is 19.13 Å³/atom.



No. 20
Density functional theory data (GGA-PBE) for a geometry-optimized AcTlP2 structure.

```
AcTlP2
1.0
4.008 0.000 0.000
0.000 4.943 0.000
0.000 0.000 4.943
P Tl Ac
2 1 1
Cartesian
0.000 2.472 0.000 P
0.000 0.000 2.472 P
2.004 0.000 0.000 Tl
2.004 2.472 2.472 Ac
```

Values from the calculation:
The total moment is 0.0 Bohr magnetons per cell. The calculation puts the formation energy from the elements at -1.7 eV/f.u. Its calculated volume is 24.48 Å³/atom.